one:
Re2AsP | PBE | relaxed

```
Re2AsP
1.0
3.980 -1.483 0.000
3.980 1.483 0.000
-1.213 0.000 4.943
Re As P
2 1 1
direct
0.231 0.231 0.229
0.769 0.769 0.771
0.000 0.000 0.500
0.500 0.500 0.000
```

Computed properties:
symmetry	C2/m (12)
calculated volume	58.4	Å³ per cell



two:
Re2AsP | PBE | relaxed

```
Re2AsP
1.0
2.918 0.000 0.000
0.000 2.918 0.000
0.000 0.000 7.825
Re As P
2 1 1
direct
0.000 0.000 0.000
0.500 0.500 0.232
0.000 0.000 0.452
0.500 0.500 0.823
```

Computed properties:
symmetry	P4mm (99)
calculated volume	66.6	Å³ per cell



three:
Re2AsP | PBE | relaxed

```
Re2AsP
1.0
1.459 0.842 9.922
-1.459 0.842 9.922
0.000 -1.684 9.922
Re As P
2 1 1
direct
0.000 0.000 0.000
0.258 0.258 0.258
0.731 0.731 0.731
0.533 0.533 0.533
```

Computed properties:
symmetry	R3m (160)
calculated volume	73.1	Å³ per cell



Calculated relative energies: one 158; two 0; three 24, given in meV per atom



one:
ReAs3P | PBE | relaxed

```
ReAs3P
1.0
4.797 0.000 0.000
0.000 4.797 0.000
0.000 0.000 4.797
Re As P
1 3 1
direct
0.000 0.000 0.000
0.000 0.000 0.500
0.000 0.500 0.000
0.500 0.000 0.000
0.500 0.500 0.500
```

Computed properties:
symmetry	Pm-3m (221)
calculated volume	110.4	Å³ per cell



two:
ReAs3P | PBE | relaxed

```
ReAs3P
1.0
4.597 0.000 0.000
0.000 4.597 0.000
0.000 0.000 4.597
Re As P
1 3 1
direct
0.000 0.000 0.000
0.000 0.500 0.500
0.500 0.000 0.500
0.500 0.500 0.000
0.500 0.500 0.500
```

Computed properties:
symmetry	Pm-3m (221)
calculated volume	97.1	Å³ per cell



Calculated relative energies: one 0; two 487, given in meV per atom



one:
ReAsP2S | PBE | relaxed

```
ReAsP2S
1.0
4.502 0.000 0.000
0.000 4.502 0.000
0.000 0.000 4.499
Re As P S
1 1 2 1
direct
0.000 0.000 0.000
0.500 0.500 0.500
0.000 0.500 0.500
0.500 0.000 0.500
0.500 0.500 0.000
```

Computed properties:
symmetry	P4/mmm (123)
calculated volume	91.2	Å³ per cell



two:
ReAsP2S | PBE | relaxed

```
ReAsP2S
1.0
4.780 0.000 0.000
0.000 4.780 0.000
0.000 0.000 4.369
Re As P S
1 1 2 1
direct
0.000 0.000 0.000
0.500 0.500 0.500
0.000 0.500 0.000
0.500 0.000 0.000
0.000 0.000 0.500
```

Computed properties:
symmetry	P4/mmm (123)
calculated volume	99.8	Å³ per cell



Calculated relative energies: one 928; two 0, given in meV per atom



one:
ReAs2PSe | PBE | relaxed

```
ReAs2PSe
1.0
4.888 0.000 0.000
0.000 4.888 0.000
0.000 0.000 4.671
Re As P Se
1 2 1 1
direct
0.000 0.000 0.000
0.000 0.500 0.000
0.500 0.000 0.000
0.500 0.500 0.500
0.000 0.000 0.500
```

Computed properties:
symmetry	P4/mmm (123)
calculated volume	111.6	Å³ per cell



two:
ReAs2PSe | PBE | relaxed

```
ReAs2PSe
1.0
4.576 0.000 0.000
0.000 4.576 0.000
0.000 0.000 4.723
Re As P Se
1 2 1 1
direct
0.000 0.000 0.000
0.000 0.500 0.500
0.500 0.000 0.500
0.500 0.500 0.500
0.500 0.500 0.000
```

Computed properties:
symmetry	P4/mmm (123)
calculated volume	98.9	Å³ per cell



Calculated relative energies: one 0; two 464, given in meV per atom